Below is a relaxed structure of CsFeBrCl2, with properties calculated at the PBE-GGA level.

Output
* uncorrected formation energy: -1.086 eV per atom
* calculated total energy: -4.022 eV per atom

a b c (Å): 5.0630 5.0630 5.3387
angles (deg): 90.00 90.00 90.00
Closest atoms and distances in Å follow each position.
Space group P4/mmm (No. 123)
Unique sites:
1 Cs 0.0000 0.0000 0.0000 x1  4 Br 3.58, 8 Cl 3.68
2 Fe 0.5000 0.5000 0.5000 x1  4 Cl 2.53, 2 Br 2.67
3 Br 0.5000 0.5000 0.0000 x1  2 Fe 2.67
4 Cl 0.0000 0.5000 0.5000 x2  2 Fe 2.53

Below is a relaxed structure of CsFeBr2Cl, with properties calculated at the PBE-GGA level.

Output
* uncorrected formation energy: -0.996 eV per atom
* calculated total energy: -3.897 eV per atom

a b c (Å): 5.3870 5.3870 4.9840
angles (deg): 90.00 90.00 90.00
Closest atoms and distances in Å follow each position.
Space group P4/mmm (No. 123)
Unique sites:
1 Cs 0.0000 0.0000 0.0000 x1  8 Br 3.67, 4 Cl 3.81
2 Fe 0.5000 0.5000 0.5000 x1  2 Cl 2.49, 4 Br 2.69
3 Br 0.0000 0.5000 0.5000 x2  2 Fe 2.69
4 Cl 0.5000 0.5000 0.0000 x1  2 Fe 2.49

Below is a relaxed structure of CsGaBr2Cl, with properties calculated at the PBE-GGA level.

Output
* uncorrected formation energy: -1.205 eV per atom
* calculated total energy: -3.020 eV per atom

a b c (Å): 5.4706 5.4706 5.3224
angles (deg): 90.00 90.00 90.00
Closest atoms and distances in Å follow each position.
Space group P4/mmm (No. 123)
Unique sites:
1 Cs 0.0000 0.0000 0.0000 x1  8 Br 3.82, 4 Cl 3.87
2 Ga 0.5000 0.5000 0.5000 x1  2 Cl 2.66, 4 Br 2.74
3 Br 0.0000 0.5000 0.5000 x2  2 Ga 2.74
4 Cl 0.5000 0.5000 0.0000 x1  2 Ga 2.66

Below is a relaxed structure of Cs2GaBrCl6, with properties calculated at the PBE-GGA level.

Output
* uncorrected formation energy: -1.227 eV per atom
* calculated total energy: -2.975 eV per atom

a b c (Å): 8.1198 8.1198 10.3754
angles (deg): 90.00 90.00 90.00
Closest atoms and distances in Å follow each position.
Space group I4/mmm (No. 139)
Unique sites:
1 Cs 0.0000 0.5000 0.2500 x4  12 Cl 3.91-4.06
2 Ga 0.0000 0.0000 0.0000 x2  4 Cl 2.30
3 Br 0.0000 0.0000 0.5000 x2  2 Cl 2.41
4 Cl 0.0000 0.0000 0.2678 x4  1 Br 2.41
5 Cl 0.2005 0.2005 0.0000 x8  1 Ga 2.30

Below is a relaxed structure of Cs2GeBrCl5, with properties calculated at the PBE-GGA level.

Output
* uncorrected formation energy: -1.358 eV per atom
* calculated total energy: -3.273 eV per atom

a b c (Å): 7.6071 7.6071 10.5199
angles (deg): 90.00 90.00 90.00
Closest atoms and distances in Å follow each position.
Space group I4mm (No. 107)
Unique sites:
1 Cs 0.0000 0.5000 0.0000 x4  10 Cl 3.77-3.81, 2 Br 3.81
2 Ge 0.0000 0.0000 0.2485 x2  5 Cl 2.33-2.34, 1 Br 2.53
3 Br 0.0000 0.0000 0.4886 x2  1 Ge 2.53
4 Cl 0.0000 0.0000 0.0274 x2  1 Ge 2.33
5 Cl 0.2178 0.2178 0.2494 x8  1 Ge 2.34

Below is a relaxed structure of Cs3Ge2Br4Cl3, with properties calculated at the PBE-GGA level.

Output
* uncorrected formation energy: -1.315 eV per atom
* calculated total energy: -3.317 eV per atom

a b c (Å): 29.4216 5.3703 5.6558
angles (deg): 90.00 101.08 90.00
Closest atoms and distances in Å follow each position.
Space group Cm (No. 8)
Unique sites:
1 Cs 0.0000 0.0000 0.0000 x2  7 Br 3.70-3.91, 2 Cl 3.75-3.80
2 Cs 0.1392 0.5000 0.6391 x2  7 Br 3.70-3.91, 2 Cl 3.75-3.80
3 Cs 0.3196 0.5000 0.8266 x2  4 Br 3.78-3.79, 8 Cl 3.84-3.97
4 Ge 0.2255 0.0000 0.2349 x2  2 Br 2.62-2.81, 3 Cl 2.69-2.72
5 Ge 0.4137 0.0000 0.4235 x2  2 Br 2.62-2.81, 3 Cl 2.69-2.72
6 Br 0.0110 0.5000 0.5111 x2  1 Ge 2.81
7 Br 0.1281 0.0000 0.1282 x2  1 Ge 2.81
8 Br 0.2274 0.0000 0.7001 x2  1 Ge 2.62
9 Br 0.4117 0.0000 0.8845 x2  1 Ge 2.62
10 Cl 0.2257 0.5000 0.2193 x2  2 Ge 2.69
11 Cl 0.3196 0.0000 0.3114 x2  2 Ge 2.72
12 Cl 0.4135 0.5000 0.4072 x2  2 Ge 2.69